DFT (PBE-GGA) results for a relaxed TbSm3Th2N6 crystal.

Cell: 15.6775 3.6095 7.1992 Å, 90.00 103.21 90.00°
Space group C2/m (No. 12)
One atom of each set of equivalent atoms:
Tb: 0.0000 0.0000 0.0000 [2 per cell]
Sm: 0.0000 0.0000 0.5000 [2 per cell]
Sm: 0.1639 0.5000 0.8345 [4 per cell]
Th: 0.1646 0.5000 0.3284 [4 per cell]
N: 0.0023 0.5000 0.2464 [4 per cell]
N: 0.1638 0.0000 0.0866 [4 per cell]
N: 0.1677 0.0000 0.5783 [4 per cell]

Results
**V**: 198.30 Å³/f.u.
**Density of states at the Fermi level**: 0.22 states/eV/atom
**Raw formation energy**: -1574 meV/atom
**E_tot**: -102.5 eV per formula unit